[1]
First-principles (PBE) data for a geometry-optimized Nd4Dy3Se8 structure, as listed in Alexandria.

Values from the calculation:
**ΔE_f (raw)**: -1.842 eV per atom
**M_tot**: 0.0 μB per formula unit
**Energy above the most stable polymorph in this dataset**: 0.00 eV/f.u.
**DFT total energy**: -5.892 eV per atom

Cell: 8.3022 8.2956 8.2956 Å, 89.97 120.06 120.06°
Last column: nearest neighbours and their distance in Å.
Fractional positions:
1 Nd 0.0000 0.5000 0.0000  6 Se 2.93
2 Nd 0.0000 0.0000 0.5000  6 Se 2.93
3 Se 0.0000 0.2564 0.7436  2 Dy 2.93, 3 Nd 2.93-3.01
4 Dy 0.5000 0.0000 0.5000  6 Se 2.93
5 Nd 0.0000 0.0000 0.0000  6 Se 3.01
6 Se 0.9909 0.7394 0.7394  1 Dy 2.88, 4 Nd 2.93-3.01
7 Se 0.0091 0.2606 0.2606  1 Dy 2.88, 4 Nd 2.93-3.01
8 Dy 0.5000 0.5000 0.0000  6 Se 2.93
9 Nd 0.5000 0.0000 0.0000  6 Se 2.98-2.99
10 Se 0.5131 0.2610 0.2610  3 Dy 2.88-2.93, 2 Nd 2.99-3.01
11 Dy 0.5000 0.5000 0.5000  6 Se 2.88
12 Se 0.5000 0.7456 0.2544  3 Dy 2.88-2.93, 3 Nd 2.93-2.98
13 Se 0.4869 0.7390 0.7390  3 Dy 2.88-2.93, 2 Nd 2.99-3.01
14 Se 0.5000 0.2544 0.7456  3 Dy 2.88-2.93, 3 Nd 2.93-2.98
15 Se 0.0000 0.7436 0.2564  2 Dy 2.93, 3 Nd 2.93-3.01



[2]
First-principles (PBE) data for a geometry-optimized NdDy2Se4 structure, as listed in Alexandria.

Values from the calculation:
**ΔE_f (raw)**: -1.865 eV per atom
**M_tot**: 0.0 μB per formula unit
**Energy above the most stable polymorph in this dataset**: 0.00 eV/f.u.
**DFT total energy**: -5.852 eV per atom

Cell: 4.0293 7.0480 13.8877 Å, 90.00 90.00 106.61°
Last column: nearest neighbours and their distance in Å.
Fractional positions:
1 Se 0.0379 0.0758 0.2500  2 Dy 2.82, 2 Nd 2.98
2 Nd 0.3754 0.7508 0.2500  6 Se 2.98-3.03
3 Dy 0.8697 0.7393 0.5682  6 Se 2.82-2.91
4 Se 0.2258 0.4516 0.6198  3 Dy 2.89-2.91, 2 Nd 3.03
5 Se 0.7742 0.5484 0.3802  3 Dy 2.89-2.91, 2 Nd 3.03
6 Se 0.2258 0.4516 0.8802  3 Dy 2.89-2.91, 2 Nd 3.03
7 Dy 0.8697 0.7393 0.9318  6 Se 2.82-2.91
8 Nd 0.6246 0.2492 0.7500  6 Se 2.98-3.03
9 Se 0.5000 0.0000 0.0000  4 Dy 2.84
10 Dy 0.1303 0.2607 0.0682  6 Se 2.82-2.91
11 Se 0.9621 0.9242 0.7500  2 Dy 2.82, 2 Nd 2.98
12 Se 0.7742 0.5484 0.1198  3 Dy 2.89-2.91, 2 Nd 3.03
13 Dy 0.1303 0.2607 0.4318  6 Se 2.82-2.91
14 Se 0.5000 0.0000 0.5000  4 Dy 2.84



[3]
First-principles (PBE) data for a geometry-optimized Nd4DySe7 structure, as listed in Alexandria.

Values from the calculation:
**ΔE_f (raw)**: -1.882 eV per atom
**M_tot**: 0.0 μB per formula unit
**DFT total energy**: -5.888 eV per atom

Cell: 4.0882 7.1893 12.4608 Å, 104.27 90.00 106.52°
Last column: nearest neighbours and their distance in Å.
Fractional positions:
1 Nd 0.3009 0.6017 0.1917  7 Se 2.96-3.20
2 Se 0.4955 0.9911 0.5031  2 Dy 2.83, 2 Nd 2.92
3 Nd 0.9994 0.9988 0.9975  6 Se 2.90-2.97
4 Se 0.9606 0.9212 0.2155  4 Nd 2.89-2.96
5 Se 0.2660 0.5320 0.6481  2 Dy 2.92, 3 Nd 3.03-3.15
6 Nd 0.1121 0.2243 0.4248  6 Se 2.89-3.03
7 Se 0.0377 0.0753 0.7788  1 Dy 2.82, 3 Nd 2.91-2.97
8 Nd 0.6991 0.3982 0.8081  7 Se 2.97-3.20
9 Dy 0.8869 0.7738 0.5772  6 Se 2.82-2.95
10 Se 0.7431 0.4862 0.3557  1 Dy 2.95, 4 Nd 3.00-3.13
11 Se 0.3381 0.6763 0.9490  5 Nd 2.97-3.20
12 Se 0.6605 0.3211 0.0504  5 Nd 2.97-3.20



[4]
First-principles (PBE) data for a geometry-optimized NdDy3Se4 structure, as listed in Alexandria.

Values from the calculation:
**ΔE_f (raw)**: -1.766 eV per atom
**M_tot**: 0.0 μB per formula unit
**Energy above the most stable polymorph in this dataset**: 0.04 eV/f.u.
**DFT total energy**: -5.830 eV per atom

Cell: 4.0563 7.1631 7.1631 Å, 108.74 90.00 90.00°
Last column: nearest neighbours and their distance in Å.
Fractional positions:
1 Dy 0.0000 0.5000 0.0000  6 Se 2.91
2 Nd 0.5000 0.0000 0.0000  6 Se 2.96-2.97
3 Se 0.0000 0.7406 0.7406  4 Dy 2.85-2.91, 2 Nd 2.97
4 Dy 0.5000 0.5000 0.5000  6 Se 2.85-2.86
5 Dy 0.0000 0.0000 0.5000  6 Se 2.91
6 Se 0.5000 0.2546 0.7454  5 Dy 2.86-2.91, 1 Nd 2.96
7 Se 0.0000 0.2594 0.2594  4 Dy 2.85-2.91, 2 Nd 2.97
8 Se 0.5000 0.7454 0.2546  5 Dy 2.86-2.91, 1 Nd 2.96



[5]
First-principles (PBE) data for a geometry-optimized Nd2DySe3 structure, as listed in Alexandria.

Values from the calculation:
**ΔE_f (raw)**: -1.805 eV per atom
**M_tot**: 0.0 μB per formula unit
**Energy above the most stable polymorph in this dataset**: 0.00 eV/f.u.
**DFT total energy**: -5.903 eV per atom

Cell: 4.1797 5.9021 7.2482 Å, 114.03 106.76 90.00°
Last column: nearest neighbours and their distance in Å.
Fractional positions:
1 Se 0.1576 0.6576 0.8152  2 Dy 2.88, 4 Nd 2.96-2.99
2 Se 0.5000 0.0000 0.5000  2 Dy 2.95, 4 Nd 3.01
3 Nd 0.1723 0.1723 0.8447  6 Se 2.96-3.01
4 Nd 0.8277 0.8277 0.1553  6 Se 2.96-3.01
5 Dy 0.5000 0.5000 0.5000  6 Se 2.88-2.95
6 Se 0.8424 0.3424 0.1848  2 Dy 2.88, 4 Nd 2.96-2.99



[6]
First-principles (PBE) data for a geometry-optimized NdDy2Se4 structure, as listed in Alexandria.

Values from the calculation:
**ΔE_f (raw)**: -1.853 eV per atom
**M_tot**: 0.0 μB per formula unit
**Energy above the most stable polymorph in this dataset**: 0.08 eV/f.u.
**DFT total energy**: -5.840 eV per atom

Cell: 4.0355 12.6452 14.7223 Å, 90.00 90.00 90.00°
Last column: nearest neighbours and their distance in Å.
Fractional positions:
1 Se 0.7500 0.3017 0.3198  3 Dy 2.86-2.90, 2 Nd 3.05
2 Dy 0.7500 0.5969 0.0910  6 Se 2.81-2.92
3 Se 0.7500 0.3719 0.0461  3 Dy 2.88-2.92, 2 Nd 3.14
4 Nd 0.2500 0.2503 0.1713  7 Se 3.05-3.14
5 Dy 0.7500 0.5576 0.6136  6 Se 2.82-2.89
6 Se 0.2500 0.1983 0.8198  3 Dy 2.86-2.90, 2 Nd 3.05
7 Se 0.2500 0.6983 0.6802  3 Dy 2.86-2.90, 2 Nd 3.05
8 Se 0.7500 0.6001 0.4238  3 Dy 2.85-2.89, 2 Nd 3.10
9 Nd 0.7500 0.7497 0.8287  7 Se 3.05-3.14
10 Dy 0.7500 0.0969 0.4090  6 Se 2.81-2.92
11 Se 0.7500 0.9555 0.7158  3 Dy 2.81-2.82, 1 Nd 3.09
12 Nd 0.2500 0.7503 0.3287  7 Se 3.05-3.14
13 Se 0.7500 0.8017 0.1802  3 Dy 2.86-2.90, 2 Nd 3.05
14 Dy 0.2500 0.9424 0.1136  6 Se 2.82-2.89
15 Se 0.2500 0.5445 0.2158  3 Dy 2.81-2.82, 1 Nd 3.09
16 Se 0.7500 0.1001 0.0762  3 Dy 2.85-2.89, 2 Nd 3.10
17 Se 0.2500 0.3999 0.5762  3 Dy 2.85-2.89, 2 Nd 3.10
18 Dy 0.2500 0.4424 0.3864  6 Se 2.82-2.89
19 Se 0.2500 0.6281 0.9539  3 Dy 2.88-2.92, 2 Nd 3.14
20 Dy 0.2500 0.9031 0.5910  6 Se 2.81-2.92
21 Nd 0.7500 0.2497 0.6713  7 Se 3.05-3.14
22 Se 0.7500 0.8719 0.4539  3 Dy 2.88-2.92, 2 Nd 3.14
23 Dy 0.2500 0.4031 0.9090  6 Se 2.81-2.92
24 Se 0.2500 0.1281 0.5461  3 Dy 2.88-2.92, 2 Nd 3.14
25 Se 0.2500 0.8999 0.9238  3 Dy 2.85-2.89, 2 Nd 3.10
26 Dy 0.7500 0.0576 0.8864  6 Se 2.82-2.89
27 Se 0.7500 0.4555 0.7842  3 Dy 2.81-2.82, 1 Nd 3.09
28 Se 0.2500 0.0445 0.2842  3 Dy 2.81-2.82, 1 Nd 3.09



[7]
First-principles (PBE) data for a geometry-optimized NdDySe2 structure, as listed in Alexandria.

Values from the calculation:
**ΔE_f (raw)**: -1.764 eV per atom
**M_tot**: 0.0 μB per formula unit
**Energy above the most stable polymorph in this dataset**: 0.14 eV/f.u.
**DFT total energy**: -5.848 eV per atom

Cell: 4.0280 4.0280 7.6566 Å, 74.75 74.75 60.00°
Last column: nearest neighbours and their distance in Å.
Fractional positions:
1 Se 0.0861 0.0861 0.7418  3 Dy 2.85, 3 Nd 2.92
2 Nd 0.6718 0.6718 0.9847  6 Se 2.92-3.06
3 Se 0.2473 0.2473 0.2582  3 Dy 2.99, 3 Nd 3.06
4 Dy 0.4949 0.4949 0.5154  6 Se 2.85-2.99



[8]
First-principles (PBE) data for a geometry-optimized Nd3SmDy2Se6 structure, as listed in Alexandria.

Values from the calculation:
**ΔE_f (raw)**: -1.810 eV per atom
**M_tot**: 0.0 μB per formula unit
**DFT total energy**: -5.904 eV per atom

Cell: 7.1976 7.1976 7.2795 Å, 99.46 99.46 120.27°
Last column: nearest neighbours and their distance in Å.
Fractional positions:
1 Se 0.4192 0.0797 0.2398  2 Dy 2.89, 1 Sm 2.95, 3 Nd 2.99-3.01
2 Dy 0.3338 0.6662 0.0000  6 Se 2.88-2.89
3 Nd 0.1627 0.8373 0.5000  6 Se 2.99-3.00
4 Se 0.2605 0.2605 0.7633  2 Dy 2.88, 1 Sm 2.93, 3 Nd 2.97-2.99
5 Dy 0.6662 0.3338 0.0000  6 Se 2.88-2.89
6 Se 0.0797 0.4192 0.2398  2 Dy 2.89, 1 Sm 2.95, 3 Nd 2.99-3.01
7 Sm 0.0000 0.0000 0.0000  6 Se 2.93-2.95
8 Nd 0.8373 0.1627 0.5000  6 Se 2.99-3.00
9 Se 0.7395 0.7395 0.2367  2 Dy 2.88, 1 Sm 2.93, 3 Nd 2.97-2.99
10 Nd 0.5000 0.5000 0.5000  6 Se 2.97-3.01
11 Se 0.9203 0.5808 0.7602  2 Dy 2.89, 1 Sm 2.95, 3 Nd 2.99-3.01
12 Se 0.5808 0.9203 0.7602  2 Dy 2.89, 1 Sm 2.95, 3 Nd 2.99-3.01



[9]
First-principles (PBE) data for a geometry-optimized Nd4Sm3DySe8 structure, as listed in Alexandria.

Values from the calculation:
**ΔE_f (raw)**: -1.815 eV per atom
**M_tot**: 0.0 μB per formula unit
**DFT total energy**: -5.921 eV per atom

Cell: 8.3653 8.4008 8.3648 Å, 119.86 120.00 90.00°
Last column: nearest neighbours and their distance in Å.
Fractional positions:
1 Dy 0.0000 0.5000 0.0000  6 Se 2.90
2 Sm 0.0000 0.5000 0.5000  6 Se 2.94
3 Se 0.7551 0.2587 0.5102  1 Dy 2.90, 2 Sm 2.94, 3 Nd 2.99-3.02
4 Sm 0.5000 0.5000 0.0000  6 Se 2.94
5 Se 0.2483 0.2589 0.0036  1 Dy 2.90, 2 Sm 2.94, 3 Nd 2.99-3.03
6 Se 0.7517 0.7411 0.9964  1 Dy 2.90, 2 Sm 2.94, 3 Nd 2.99-3.03
7 Sm 0.5000 0.5000 0.5000  6 Se 2.94
8 Se 0.2449 0.7413 0.4898  1 Dy 2.90, 2 Sm 2.94, 3 Nd 2.99-3.02
9 Nd 0.5000 0.0000 0.0000  6 Se 3.02-3.03
10 Nd 0.0000 0.0000 0.5000  6 Se 2.99
11 Se 0.2447 0.7411 0.9964  1 Dy 2.90, 2 Sm 2.94, 3 Nd 2.99-3.03
12 Se 0.7553 0.2589 0.0036  1 Dy 2.90, 2 Sm 2.94, 3 Nd 2.99-3.03
13 Se 0.7482 0.7445 0.4963  3 Sm 2.94, 3 Nd 2.99
14 Nd 0.5000 0.0000 0.5000  6 Se 2.99
15 Se 0.2518 0.2555 0.5037  3 Sm 2.94, 3 Nd 2.99
16 Nd 0.0000 0.0000 0.0000  6 Se 2.99



[10]
First-principles (PBE) data for a geometry-optimized Nd4SmDy3Se8 structure, as listed in Alexandria.

Values from the calculation:
**ΔE_f (raw)**: -1.800 eV per atom
**M_tot**: 0.0 μB per formula unit
**DFT total energy**: -5.892 eV per atom

Cell: 8.2716 8.3980 8.2714 Å, 119.50 120.00 90.00°
Last column: nearest neighbours and their distance in Å.
Fractional positions:
1 Nd 0.5000 0.0000 0.5000  6 Se 3.01
2 Se 0.2482 0.7379 0.4964  2 Dy 2.89, 1 Sm 2.92, 3 Nd 2.97-3.01
3 Se 0.7518 0.2622 0.0103  2 Dy 2.89, 1 Sm 2.92, 3 Nd 2.97-3.01
4 Dy 0.5000 0.5000 0.0000  6 Se 2.89
5 Nd 0.5000 0.0000 0.0000  6 Se 2.97
6 Nd 0.0000 0.0000 0.5000  6 Se 3.01
7 Se 0.2482 0.7378 0.9897  2 Dy 2.89, 1 Sm 2.92, 3 Nd 2.97-3.01
8 Nd 0.0000 0.0000 0.0000  6 Se 3.01
9 Se 0.7449 0.7348 0.4899  3 Dy 2.89, 3 Nd 3.01
10 Dy 0.0000 0.5000 0.5000  6 Se 2.89
11 Se 0.2551 0.2652 0.5101  3 Dy 2.89, 3 Nd 3.01
12 Dy 0.5000 0.5000 0.5000  6 Se 2.89
13 Se 0.7518 0.2621 0.5036  2 Dy 2.89, 1 Sm 2.92, 3 Nd 2.97-3.01
14 Sm 0.0000 0.5000 0.0000  6 Se 2.92
15 Se 0.7415 0.7378 0.9897  2 Dy 2.89, 1 Sm 2.92, 3 Nd 2.97-3.01
16 Se 0.2585 0.2622 0.0103  2 Dy 2.89, 1 Sm 2.92, 3 Nd 2.97-3.01



| no. | theoretical density (g cm⁻³) |
| --- | --- |
| 1 | 6.98 |
| 2 | 6.90 |
| 3 | 6.32 |
| 4 | 7.98 |
| 5 | 7.37 |
| 6 | 6.94 |
| 7 | 7.53 |
| 8 | 7.46 |
| 9 | 7.26 |
| 10 | 7.49 |